Here is a relaxed CeCr2IrO8 crystal from the Alexandria database. Energies are from PBE+U.

Computed properties:
- DFT total energy: -181.8 eV/cell

Unit cell a=6.6350 b=6.6773 c=6.4224 alpha=90.00 beta=90.00 gamma=90.00
Space group Cmmm (No. 65)
One atom of each set of equivalent atoms:
Ce 0.0000 0.0000 0.0000 (multiplicity 2)
Cr 0.0000 0.5000 0.2575 (multiplicity 4)
Ir 0.0000 0.0000 0.5000 (multiplicity 2)
O 0.0000 0.2046 0.2824 (multiplicity 8)
O 0.1786 0.5000 0.0000 (multiplicity 4)
O 0.2032 0.5000 0.5000 (multiplicity 4)